No. 1
The following is a meta-GGA SCAN calculation of YIrC2 at its PBEsol-relaxed geometry, from the Alexandria database.

abc: 4.7644 4.7644 6.2879
angles: 112.26 112.26 90.00
With the nearest neighbours (Å) after each atom.
Sites, in units of the cell vectors:
Y 0.7500 0.2500 0.5000  4 C 2.39
Y 0.5000 0.5000 0.0000  4 C 2.39
C 0.2904 0.8750 0.2500  2 Ir 1.95
C 0.9596 0.3750 0.2500  2 Ir 1.95
C 0.1250 0.0404 0.7500  2 Ir 1.95
C 0.6250 0.7096 0.7500  2 Ir 1.95
Ir 0.2500 0.7500 0.5000  4 C 1.95
Ir 0.0000 0.0000 0.0000  4 C 1.95

Computed properties:
SG: I-42d (122)
Crystal system: tetragonal
N(E_F), states/eV per cell: 2.9

No. 2
The following is a meta-GGA SCAN calculation of KC8 at its PBEsol-relaxed geometry, from the Alexandria database.

abc: 4.9662 4.9654 10.7592
angles: 83.37 76.66 59.99
With the nearest neighbours (Å) after each atom.
Sites, in units of the cell vectors:
K 0.0000 0.0000 0.0000  12 C 2.98-3.00
K 0.7500 0.5000 0.5000  12 C 2.98-3.00
C 0.0420 0.1665 0.2500  3 C 1.43-1.44
C 0.4585 0.8335 0.7500  3 C 1.43-1.44
C 0.7915 0.1665 0.7500  3 C 1.43-1.44
C 0.7080 0.8335 0.2500  3 C 1.43-1.44
C 0.7080 0.3335 0.2500  3 C 1.43-1.44
C 0.2915 0.6665 0.7500  3 C 1.43-1.44
C 0.9585 0.3335 0.7500  3 C 1.43-1.44
C 0.0420 0.6665 0.2500  3 C 1.43-1.44
C 0.5407 0.1667 0.2518  3 C 1.43
C 0.9592 0.8333 0.7482  3 C 1.43
C 0.2926 0.1667 0.7482  3 C 1.43
C 0.2074 0.8333 0.2518  3 C 1.43
C 0.2093 0.3333 0.2482  3 C 1.43
C 0.7908 0.6667 0.7518  3 C 1.43
C 0.4574 0.3333 0.7518  3 C 1.43
C 0.5426 0.6667 0.2482  3 C 1.43

Computed properties:
SG: Fddd (70)
Crystal system: orthorhombic
N(E_F), states/eV per cell: 3.0

No. 3
The following is a meta-GGA SCAN calculation of K2C at its PBEsol-relaxed geometry, from the Alexandria database.

abc: 4.8467 4.8467 7.4015
angles: 90.00 90.00 90.00
With the nearest neighbours (Å) after each atom.
Sites, in units of the cell vectors:
K 0.0000 0.0000 0.0000  4 C 2.95
K 0.5000 0.5000 0.0000  4 C 2.95
K 0.5000 0.0000 0.3894  1 C 2.84
K 0.0000 0.5000 0.6106  1 C 2.84
C 0.5000 0.0000 0.7726  5 K 2.84-2.95
C 0.0000 0.5000 0.2274  5 K 2.84-2.95

Computed properties:
SG: P4/nmm (129)
Crystal system: tetragonal
N(E_F), states/eV per cell: 0.7
Relative energy among the computed polymorphs, eV per atom: 0.0000

No. 4
The following is a meta-GGA SCAN calculation of K2C at its PBEsol-relaxed geometry, from the Alexandria database.

abc: 4.2110 4.2110 7.6455
angles: 90.00 90.00 120.00
With the nearest neighbours (Å) after each atom.
Sites, in units of the cell vectors:
K 0.3333 0.6667 0.2897  3 C 2.91, 1 K 3.22
K 0.3333 0.6667 0.7103  3 C 2.91, 1 K 3.22
C 0.0000 0.0000 0.5000  6 K 2.91

Computed properties:
SG: P-6m2 (187)
Crystal system: hexagonal
N(E_F), states/eV per cell: 1.6
Relative energy among the computed polymorphs, eV per atom: 0.0390

No. 5
The following is a meta-GGA SCAN calculation of KC at its PBEsol-relaxed geometry, from the Alexandria database.

abc: 4.1044 4.1044 6.6808
angles: 90.00 90.00 90.00
With the nearest neighbours (Å) after each atom.
Sites, in units of the cell vectors:
K 0.5000 0.5000 0.0000  4 C 2.90
C 0.0000 0.0000 0.0000  4 K 2.90

Computed properties:
SG: P4/mmm (123)
Crystal system: tetragonal
N(E_F), states/eV per cell: 0.0

No. 6
The following is a meta-GGA SCAN calculation of K2C at its PBEsol-relaxed geometry, from the Alexandria database.

abc: 3.7380 3.7380 7.6915
angles: 104.06 104.06 90.00
With the nearest neighbours (Å) after each atom.
Sites, in units of the cell vectors:
K 0.3943 0.3943 0.7887  4 C 3.05, 1 K 3.05
K 0.6057 0.6057 0.2113  4 C 3.05, 1 K 3.05
C 0.0000 0.0000 0.0000  8 K 3.05

Computed properties:
SG: I4/mmm (139)
Crystal system: tetragonal
N(E_F), states/eV per cell: 1.3
Relative energy among the computed polymorphs, eV per atom: 0.0362

No. 7
The following is a meta-GGA SCAN calculation of KLa2PtC at its PBEsol-relaxed geometry, from the Alexandria database.

abc: 3.9156 5.9837 5.9837
angles: 90.00 90.00 90.00
With the nearest neighbours (Å) after each atom.
Sites, in units of the cell vectors:
K 0.5000 0.5000 0.5000  8 La 3.58, 2 K 3.92
C 0.5000 0.0000 0.0000  2 Pt 1.96
Pt 0.0000 0.0000 0.0000  2 C 1.96
La 0.0000 0.0000 0.5000  2 Pt 2.99
La 0.0000 0.5000 0.0000  2 Pt 2.99

Computed properties:
SG: P4/mmm (123)
Crystal system: tetragonal
N(E_F), states/eV per cell: 3.5

No. 8
The following is a meta-GGA SCAN calculation of KLiMo2C at its PBEsol-relaxed geometry, from the Alexandria database.

abc: 4.5112 4.4619 4.4619
angles: 90.00 90.00 90.00
With the nearest neighbours (Å) after each atom.
Sites, in units of the cell vectors:
C 0.5000 0.0000 0.0000  2 K 2.26
Mo 0.0000 0.0000 0.5000  2 K 2.23
Mo 0.0000 0.5000 0.0000  2 K 2.23
K 0.0000 0.0000 0.0000  4 Mo 2.23, 2 C 2.26
Li 0.5000 0.5000 0.5000  4 C 3.16, 8 Mo 3.17

Computed properties:
SG: P4/mmm (123)
Crystal system: tetragonal
N(E_F), states/eV per cell: 4.5

Taking the records one at a time from the top gives VASP energy values of -29.599 -9.951 -7.612 -7.573 -7.011 -7.576 -34.627 -14.441 eV/atom.